Model i:
The following is a DFT calculation (PBE) of crystalline Mg2MnNi at its relaxed geometry.

Unit cell a=4.0062 b=4.0062 c=3.8795 alpha=90.00 beta=90.00 gamma=90.00
Closest atoms and distances in Å follow each position.
Fractional coordinates of all 4 atoms:
Mg  0.0000  0.0000  0.0000  4 Ni 2.79, 4 Mn 2.79, 4 Mg 2.83
Mg  0.5000  0.5000  0.0000  4 Mn 2.79, 4 Ni 2.79, 4 Mg 2.83
Ni  0.0000  0.5000  0.5000  8 Mg 2.79, 4 Mn 2.83
Mn  0.5000  0.0000  0.5000  8 Mg 2.79, 4 Ni 2.83

Summary:
The calculation puts the density of states at the Fermi level at 2.4 states/eV per cell. Its spin magnetization is 3.528 Bohr magnetons per cell.

Model ii:
The following is a DFT calculation (PBE) of crystalline Mg2MnNi at its relaxed geometry.

Unit cell a=9.0166 b=9.0166 c=9.0166 alpha=18.51 beta=18.51 gamma=18.51
Closest atoms and distances in Å follow each position.
Fractional coordinates of all 4 atoms:
Mg  0.5066  0.5066  0.5066  3 Ni 2.64, 6 Mg 2.90, 3 Mn 2.92
Mg  0.9934  0.9934  0.9934  3 Ni 2.64, 6 Mg 2.90, 3 Mn 2.92
Ni  0.2500  0.2500  0.2500  6 Mg 2.64, 6 Ni 2.90
Mn  0.7500  0.7500  0.7500  6 Mn 2.90, 6 Mg 2.92

Summary:
The calculation puts the density of states at the Fermi level at 3.0 states/eV per cell. Its spin magnetization is 4.035 Bohr magnetons per cell.

Comparing the structures above, model i comes out on top by 104 meV per atom.